# Er8SiSe3S3, relaxed, DFT PBE
data_Er8SiSe3S3
_symmetry_space_group_name_H-M 'R -3 m'
_symmetry_Int_Tables_number 166
_symmetry_space_group_name_Hall '-R 3 2"'
_cell_length_a 7.8615
_cell_length_b 7.8615
_cell_length_c 19.6021
_cell_angle_alpha 90.00
_cell_angle_beta 90.00
_cell_angle_gamma 120.00
loop_
_atom_site_label
_atom_site_fract_x
_atom_site_fract_y
_atom_site_fract_z
Er1 0.0000 0.0000 0.2421
Er2 0.0033 0.5017 0.7550
Si1 0.0000 0.0000 0.5000
Se1 0.0000 0.5000 0.0000
S1 0.0000 0.5000 0.5000
# total magnetic moment = 0.000 μB per atom
# formation energy without anion corrections = -1.60 eV per atom
# calculated density = 8.1 Mg/m³